i | # SrAl2Re, relaxed, DFT PBE-GGA
# D(E_F) (states/eV/atom): 0.97
# Magnetic moment (μB/cell): 0.000
data_SrAl2Re
_symmetry_space_group_name_H-M 'P 4/m m m'
_symmetry_Int_Tables_number 123
_symmetry_space_group_name_Hall '-P 4 2'
_cell_length_a 4.5376
_cell_length_b 4.5376
_cell_length_c 3.8527
_cell_angle_alpha 90.00
_cell_angle_beta 90.00
_cell_angle_gamma 90.00
loop_
_atom_site_label
_atom_site_type_symbol
_atom_site_fract_x
_atom_site_fract_y
_atom_site_fract_z
Sr1 Sr 0.0000 0.0000 0.0000
Al1 Al 0.0000 0.5000 0.5000
Re1 Re 0.5000 0.5000 0.0000



ii | # SrAl2Re, relaxed, DFT PBE-GGA
# D(E_F) (states/eV/atom): 0.47
# Magnetic moment (μB/cell): 0.000
data_SrAl2Re
_symmetry_space_group_name_H-M 'C 1 2/m 1'
_symmetry_Int_Tables_number 12
_cell_length_a 8.8098
_cell_length_b 2.8842
_cell_length_c 6.4970
_cell_angle_alpha 90.00
_cell_angle_beta 96.05
_cell_angle_gamma 90.00
loop_
_symmetry_equiv_pos_as_xyz
'x,y,z'
'-x,-y,-z'
'-x,y,-z'
'x,-y,z'
'x+1/2,y+1/2,z'
'-x+1/2,-y+1/2,-z'
'-x+1/2,y+1/2,-z'
'x+1/2,-y+1/2,z'
loop_
_atom_site_label
_atom_site_type_symbol
_atom_site_fract_x
_atom_site_fract_y
_atom_site_fract_z
Sr1 Sr 0.0000 0.0000 0.0000
Al1 Al 0.2350 0.0000 0.6743
Re1 Re 0.0000 0.5000 0.5000



Stability check: which of them is most stable? ii.



i | # SrAl2Re, relaxed, DFT PBE-GGA
# D(E_F) (states/eV/atom): 0.67
# Magnetic moment (μB/cell): 0.000
data_SrAl2Re
_symmetry_space_group_name_H-M 'C 1 m 1'
_symmetry_Int_Tables_number 8
_cell_length_a 8.8333
_cell_length_b 2.8361
_cell_length_c 6.8573
_cell_angle_alpha 90.00
_cell_angle_beta 95.71
_cell_angle_gamma 90.00
loop_
_symmetry_equiv_pos_as_xyz
'x,y,z'
'x,-y,z'
'x+1/2,y+1/2,z'
'x+1/2,-y+1/2,z'
loop_
_atom_site_label
_atom_site_type_symbol
_atom_site_fract_x
_atom_site_fract_y
_atom_site_fract_z
Sr1 Sr 0.0000 0.0000 0.0000
Al1 Al 0.2445 0.0000 0.6575
Al2 Al 0.4988 0.0000 0.4585
Re1 Re 0.2596 0.5000 0.3289



ii | # SrAl2Re, relaxed, DFT PBE-GGA
# D(E_F) (states/eV/atom): 1.04
# Magnetic moment (μB/cell): 0.002
data_SrAl2Re
_symmetry_space_group_name_H-M 'P m m m'
_symmetry_Int_Tables_number 47
_cell_length_a 3.2565
_cell_length_b 3.2712
_cell_length_c 7.5814
_cell_angle_alpha 90.00
_cell_angle_beta 90.00
_cell_angle_gamma 90.00
loop_
_symmetry_equiv_pos_as_xyz
'x,y,z'
'-x,-y,-z'
'-x,-y,z'
'x,y,-z'
'x,-y,-z'
'-x,y,z'
'-x,y,-z'
'x,-y,z'
loop_
_atom_site_label
_atom_site_type_symbol
_atom_site_fract_x
_atom_site_fract_y
_atom_site_fract_z
Sr1 Sr 0.0000 0.0000 0.0000
Al1 Al 0.5000 0.5000 0.3255
Re1 Re 0.0000 0.0000 0.5000



iii | # SrAl2Re, relaxed, DFT PBE-GGA
# D(E_F) (states/eV/atom): 0.93
# Magnetic moment (μB/cell): 0.181
data_SrAl2Re
_symmetry_space_group_name_H-M 'R 3 m'
_symmetry_Int_Tables_number 160
_symmetry_space_group_name_Hall 'R 3 -2"'
_cell_length_a 3.0358
_cell_length_b 3.0358
_cell_length_c 29.3219
_cell_angle_alpha 90.00
_cell_angle_beta 90.00
_cell_angle_gamma 120.00
loop_
_atom_site_label
_atom_site_type_symbol
_atom_site_fract_x
_atom_site_fract_y
_atom_site_fract_z
Sr1 Sr 0.0000 0.0000 0.0000
Al1 Al 0.0000 0.0000 0.5098
Al2 Al 0.0000 0.0000 0.7661
Re1 Re 0.0000 0.0000 0.2434



iv | # SrAl2Re, relaxed, DFT PBE-GGA
# D(E_F) (states/eV/atom): 0.80
# Magnetic moment (μB/cell): 0.000
data_SrAl2Re
_symmetry_space_group_name_H-M 'P 1 m 1'
_symmetry_Int_Tables_number 6
_cell_length_a 2.8730
_cell_length_b 4.2492
_cell_length_c 7.1780
_cell_angle_alpha 90.00
_cell_angle_beta 97.24
_cell_angle_gamma 90.00
loop_
_symmetry_equiv_pos_as_xyz
'x,y,z'
'x,-y,z'
loop_
_atom_site_label
_atom_site_type_symbol
_atom_site_fract_x
_atom_site_fract_y
_atom_site_fract_z
Sr1 Sr 0.0000 0.0000 0.0000
Al1 Al 0.6035 0.5000 0.3214
Al2 Al 0.6723 0.0000 0.5715
Re1 Re 0.2056 0.5000 0.6382



Stability check: which of them is most stable? ii.